Model 1:
Below is KSi3Bi after structural relaxation, with properties calculated at the PBE level.

```
5
Lattice="5.3408 0.0000 0.0000 0.0000 5.3408 0.0000 0.0000 0.0000 5.3408" Properties=species:S:1:pos:R:3 pbc="T T T"
Si 0.0000 0.0000 2.6704
Si 2.6704 0.0000 0.0000
Si 0.0000 2.6704 0.0000
Bi 2.6704 2.6704 2.6704
K 0.0000 0.0000 0.0000
```

## Properties
Space-group type = Pm-3m

Model 2:
Below is KSi3Bi after structural relaxation, with properties calculated at the PBE level.

```
5
Lattice="5.5621 0.0000 0.0000 0.0000 5.5621 0.0000 0.0000 0.0000 5.5621" Properties=species:S:1:pos:R:3 pbc="T T T"
Si 0.0000 0.0000 2.7810
Si 0.0000 2.7810 0.0000
Si 2.7810 0.0000 0.0000
Bi 0.0000 0.0000 0.0000
K 2.7810 2.7810 2.7810
```

## Properties
Space-group type = Pm-3m

Which is the most stable structure? model 2 is the most stable.

Model 1:
Below is KSmBi2 after structural relaxation, with properties calculated at the PBE level.

```
4
Lattice="4.2613 0.0000 0.0000 0.0000 4.2613 0.0000 0.0000 0.0000 7.8111" Properties=species:S:1:pos:R:3 pbc="T T T"
Sm 2.1306 2.1306 0.0000
Bi 0.0000 0.0000 1.5773
Bi 0.0000 0.0000 6.2338
K 2.1306 2.1306 3.9056
```

## Properties
Space-group type = P4/mmm

Model 2:
Below is KSmBi2 after structural relaxation, with properties calculated at the PBE level.

```
4
Lattice="4.5563 0.0000 0.0000 2.2781 3.9459 0.0000 2.2781 1.3153 8.7708" Properties=species:S:1:pos:R:3 pbc="T T T"
Bi 2.2782 1.3153 1.8273
Bi 6.8344 3.9459 6.9435
Sm 0.0000 0.0000 0.0000
K 4.5563 2.6306 4.3854
```

## Properties
Space-group type = R-3m

Model 3:
Below is KSmBi2 after structural relaxation, with properties calculated at the PBE level.

```
4
Lattice="4.5295 0.0000 0.0000 2.2647 3.9226 0.0000 2.2647 1.3075 8.8947" Properties=species:S:1:pos:R:3 pbc="T T T"
Sm 6.7942 3.9226 8.8671
Bi 2.2647 1.3075 7.0260
Bi 2.2647 1.3075 1.8527
K 4.5295 2.6151 4.4909
```

## Properties
Space-group type = R3m

Which is the most stable structure? model 1 is the most stable.

Model 1:
Below is KSn3Bi3 after structural relaxation, with properties calculated at the PBE level.

```
14
Lattice="8.6426 0.0000 0.0000 0.0000 8.6426 0.0000 0.0000 0.0000 8.6426" Properties=species:S:1:pos:R:3 pbc="T T T"
Sn 0.0000 4.3213 6.4820
Sn 2.1607 0.0000 4.3213
Sn 4.3213 6.4820 0.0000
Sn 6.4820 0.0000 4.3213
Sn 0.0000 4.3213 2.1607
Sn 4.3213 2.1607 0.0000
Bi 4.3213 0.0000 6.4820
Bi 4.3213 0.0000 2.1607
Bi 0.0000 6.4820 4.3213
Bi 0.0000 2.1607 4.3213
Bi 2.1607 4.3213 0.0000
Bi 6.4820 4.3213 0.0000
K 0.0000 0.0000 0.0000
K 4.3213 4.3213 4.3213
```

## Properties
Space-group type = Pm-3n

Model 2:
Below is KSn3Bi3 after structural relaxation, with properties calculated at the PBE level.

```
14
Lattice="9.1855 0.0000 0.0000 4.5927 7.9548 0.0000 4.5927 2.6516 7.5295" Properties=species:S:1:pos:R:3 pbc="T T T"
Bi 10.8225 7.9451 1.8659
Bi 6.0790 5.4000 1.8659
Bi 10.6549 2.5645 1.8659
Bi 12.2920 5.2064 5.6635
Bi 7.7160 8.0419 5.6635
Bi 7.5484 2.6613 5.6635
K 13.7782 7.9548 7.5189
K 4.5927 2.6516 0.0106
Sn 6.1509 5.3629 4.8914
Sn 10.6510 2.6454 4.8914
Sn 7.7199 7.9611 2.6380
Sn 12.2200 5.2435 2.6380
Sn 10.7544 7.9014 4.8914
Sn 7.6165 2.7051 2.6380
```

## Properties
Space-group type = R-3

Which is the most stable structure? model 2 is the most stable.

Model 1:
Below is KSnBi3 after structural relaxation, with properties calculated at the PBE level.

```
5
Lattice="5.8941 0.0000 0.0000 0.0000 5.8941 0.0000 0.0000 0.0000 5.8941" Properties=species:S:1:pos:R:3 pbc="T T T"
K 0.0000 0.0000 0.0000
Sn 2.9470 2.9470 2.9470
Bi 0.0000 0.0000 2.9470
Bi 0.0000 2.9470 0.0000
Bi 2.9470 0.0000 0.0000
```

## Properties
Space-group type = Pm-3m

Model 2:
Below is KSnBi3 after structural relaxation, with properties calculated at the PBE level.

```
10
Lattice="7.1194 -0.0687 0.0000 2.5397 6.6497 0.0000 0.0000 -0.0001 8.2402" Properties=species:S:1:pos:R:3 pbc="T T T"
Sn 6.7372 0.6695 4.5518
Sn 6.8258 5.6448 0.4317
Bi 2.2328 2.5187 4.5516
Bi 4.2109 3.8643 0.4317
Bi 4.4618 1.3696 6.6120
Bi 1.9816 5.0133 2.4918
Bi 1.9816 5.0132 6.6116
Bi 4.4619 1.3697 2.4915
K 0.8238 1.5583 0.4316
K 5.6198 4.8247 4.5519
```

## Properties
Space-group type = Cmcm

Which is the most stable structure? model 2 is the most stable.

Model 1:
Below is K2SnBi2 after structural relaxation, with properties calculated at the PBE level.

```
10
Lattice="-3.1181 4.8269 2.0965 -5.4825 -3.5864 0.1033 4.7111 -0.9516 9.1973" Properties=species:S:1:pos:R:3 pbc="T T T"
Sn 0.0000 0.0000 0.0000
Sn -1.5590 2.4134 1.0483
K -3.9000 0.1830 7.1636
K 0.0105 0.1059 4.2336
K -0.6054 1.2052 9.7100
K -3.2840 -0.9163 1.6872
Bi -5.9204 0.2685 3.9619
Bi 2.0309 0.0204 7.4352
Bi -0.6354 -1.7238 7.4854
Bi -3.2541 2.0127 3.9117
```

## Properties
Space-group type = Cmcm

Model 2:
Below is K2SnBi2 after structural relaxation, with properties calculated at the PBE level.

```
10
Lattice="5.6371 0.0000 1.3360 2.8750 6.4331 0.4296 0.4114 -0.7554 10.8244" Properties=species:S:1:pos:R:3 pbc="T T T"
Bi 1.4755 1.4125 6.3349
Bi 7.4481 4.2652 6.2552
Bi 6.3793 4.6692 10.7648
Bi 2.5443 1.0085 1.8253
K 4.8758 1.8869 4.5482
K 4.0478 3.7909 8.0419
K 2.6337 4.7783 1.4479
K 6.2898 0.8995 11.1421
Sn 4.0790 0.0163 7.9100
Sn 4.8445 5.6614 4.6801
```

## Properties
Space-group type = C2/m

Which is the most stable structure? model 2 is the most stable.

Model 1:
Below is K2SnBi after structural relaxation, with properties calculated at the PBE level.

```
4
Lattice="5.1132 2.6756 1.2238 0.9182 2.2996 5.3545 3.8503 -2.5376 3.6793" Properties=species:S:1:pos:R:3 pbc="T T T"
Bi 4.9409 1.2188 5.1288
K 7.4113 1.8282 7.6931
K 2.4704 0.6094 2.5644
Sn 0.0000 0.0000 0.0000
```

## Properties
Space-group type = Fm-3m

Model 2:
Below is K2SnBi after structural relaxation, with properties calculated at the PBE level.

```
4
Lattice="-3.5102 3.0080 -3.4331 -4.7641 -2.1754 2.9640 4.3794 3.8181 3.6988" Properties=species:S:1:pos:R:3 pbc="T T T"
K 0.6725 1.8208 0.9084
K -3.4132 3.3568 1.6033
Bi -0.4174 3.9316 3.8731
Sn -2.4213 1.2014 -1.3006
```

## Properties
Space-group type = Cm

Which is the most stable structure? model 2 is the most stable.

Model 1:
Below is K2SnBi after structural relaxation, with properties calculated at the PBE level.

```
8
Lattice="10.0422 0.0000 0.0000 0.0000 10.0422 0.0000 5.0211 5.0211 3.1293" Properties=species:S:1:pos:R:3 pbc="T T T"
K 12.5528 12.6104 2.3470
K 7.5893 2.5106 0.7823
K 2.4529 7.5317 0.7823
K 7.5317 7.4740 2.3470
Bi 0.0000 0.0000 0.0000
Bi 10.0422 5.0211 1.5646
Sn 5.0211 10.0422 1.5646
Sn 5.0211 5.0211 0.0000
```

## Properties
Space-group type = I-42d

Model 2:
Below is K2SnBi after structural relaxation, with properties calculated at the PBE level.

```
16
Lattice="6.6413 0.0000 0.0000 0.0000 6.8477 0.0000 0.0000 0.0000 13.5717" Properties=species:S:1:pos:R:3 pbc="T T T"
Sn 3.3206 6.1983 10.1788
Sn 3.3206 0.6493 3.3929
Sn 0.0000 6.1983 10.1788
Sn 0.0000 0.6493 3.3929
Bi 4.9810 2.3353 5.3493
Bi 4.9810 4.5124 12.1351
Bi 1.6603 4.5124 8.2224
Bi 1.6603 2.3353 1.4365
K 1.6603 2.6363 11.3057
K 4.9810 4.2114 2.2660
K 1.6603 4.2114 4.5199
K 4.9810 5.7639 6.6856
K 4.9810 1.0837 13.4714
K 1.6603 5.7639 0.1003
K 4.9810 2.6363 9.0518
K 1.6603 1.0837 6.8861
```

## Properties
Space-group type = Pbcm

Which is the most stable structure? model 2 is the most stable.

Model 1:
Below is K3SnBi after structural relaxation, with properties calculated at the PBE level.

```
10
Lattice="-7.9571 3.5369 1.1083 4.1835 -1.7827 7.5082 7.3566 3.8324 -2.8716" Properties=species:S:1:pos:R:3 pbc="T T T"
K 2.9176 0.8816 0.9151
K 0.7957 4.6446 4.5328
K -2.7156 3.1504 5.9318
K 4.5592 3.2449 3.7853
K -0.8300 2.2877 1.6200
K -1.5100 5.8903 0.5888
Bi 0.5219 1.0260 6.8137
Bi 2.0094 5.0495 1.3328
Sn 1.6994 0.5749 4.0826
Sn 3.2031 4.3983 -1.3504
```

## Properties
Space-group type = Ima2

Model 2:
Below is K3SnBi after structural relaxation, with properties calculated at the PBE level.

```
5
Lattice="-4.3224 1.9551 -4.8176 -4.2304 -4.9646 1.7808 -3.0225 4.1528 4.3970" Properties=species:S:1:pos:R:3 pbc="T T T"
Bi 0.0000 0.0000 0.0000
Sn -5.7876 0.5716 0.6801
K -1.5112 2.0764 2.1985
K -2.1612 0.9775 -2.4088
K -2.1152 -2.4823 0.8904
```

## Properties
Space-group type = Pm-3m

Which is the most stable structure? model 1 is the most stable.

Model 1:
Below is K3SrBi after structural relaxation, with properties calculated at the PBE level.

```
5
Lattice="-5.0210 -2.9870 -3.8694 3.3384 -6.1473 0.4134 -3.5706 -1.5472 5.8277" Properties=species:S:1:pos:R:3 pbc="T T T"
K 1.6692 -3.0736 0.2067
K -2.5105 -1.4935 -1.9347
K -1.7853 -0.7736 2.9138
Bi -2.6266 -5.3407 1.1858
Sr 0.0000 0.0000 0.0000
```

## Properties
Space-group type = Pm-3m

Model 2:
Below is K3SrBi after structural relaxation, with properties calculated at the PBE level.

```
5
Lattice="6.8790 0.0000 0.0000 0.0000 6.8790 0.0000 0.0000 0.0000 6.8790" Properties=species:S:1:pos:R:3 pbc="T T T"
K 0.0000 3.4395 0.0000
K 0.0000 0.0000 3.4395
K 3.4395 0.0000 0.0000
Bi 0.0000 0.0000 0.0000
Sr 3.4395 3.4395 3.4395
```

## Properties
Space-group type = Pm-3m

Which is the most stable structure? model 2 is the most stable.

Model 1:
Below is KSr2Bi2 after structural relaxation, with properties calculated at the PBE level.

```
10
Lattice="9.9282 0.0000 0.0000 0.0000 9.9282 0.0000 0.0000 0.0000 4.0108" Properties=species:S:1:pos:R:3 pbc="T T T"
Sr 1.3488 6.3129 2.0054
Sr 8.5794 3.6153 2.0054
Sr 6.3129 8.5794 2.0054
Sr 3.6153 1.3488 2.0054
Bi 6.5739 1.6098 0.0000
Bi 1.6098 3.3543 0.0000
Bi 3.3543 8.3184 0.0000
Bi 8.3184 6.5739 0.0000
K 4.9641 4.9641 0.0000
K 0.0000 0.0000 0.0000
```

## Properties
Space-group type = P4/mbm

Model 2:
Below is KSr2Bi2 after structural relaxation, with properties calculated at the PBE level.

```
5
Lattice="-0.9602 -2.5986 -5.7012 -2.0690 -5.3127 2.7700 -7.3012 -1.7242 -1.5081" Properties=species:S:1:pos:R:3 pbc="T T T"
Sr -3.5899 -3.1553 -1.4808
Sr -6.7404 -6.4801 -2.9585
Bi -4.8880 -4.1392 -4.3374
Bi -5.4424 -5.4963 -0.1019
K 0.0000 0.0000 0.0000
```

## Properties
Space-group type = I4/mmm

Which is the most stable structure? model 1 is the most stable.

Model 1:
Below is KTaBi2 after structural relaxation, with properties calculated at the PBE level.

```
8
Lattice="-2.5789 1.2146 -7.2046 -0.0119 -7.6409 -1.2839 -7.1409 -3.5462 -2.2080" Properties=species:S:1:pos:R:3 pbc="T T T"
Bi -6.3260 -4.2627 -4.7036
Bi -3.6708 -0.9543 -5.9761
Bi -7.6238 -9.0896 -9.2190
Bi -1.8427 -5.6386 -1.4942
K -4.2241 -7.2002 -3.8680
K -1.2954 -3.2132 -4.2442
Ta -5.5076 -2.7724 -6.8284
Ta 0.0000 0.0000 0.0000
```

## Properties
Space-group type = I-42d

Model 2:
Below is KTaBi2 after structural relaxation, with properties calculated at the PBE level.

```
4
Lattice="4.4519 -1.9764 2.1880 1.0928 0.9402 5.1415 -0.3092 -3.9646 3.5635" Properties=species:S:1:pos:R:3 pbc="T T T"
K 0.0000 0.0000 0.0000
Bi 1.3089 -1.2502 2.7232
Bi 3.9266 -3.7506 8.1697
Ta 2.6177 -2.5004 5.4465
```

## Properties
Space-group type = Fm-3m

Which is the most stable structure? model 1 is the most stable.

Model 1:
Below is KTa3Bi after structural relaxation, with properties calculated at the PBE level.

```
5
Lattice="4.7995 0.0000 0.0000 0.0000 4.7995 0.0000 0.0000 0.0000 4.7995" Properties=species:S:1:pos:R:3 pbc="T T T"
Ta 2.3998 0.0000 0.0000
Ta 0.0000 2.3998 0.0000
Ta 0.0000 0.0000 2.3998
Bi 2.3998 2.3998 2.3998
K 0.0000 0.0000 0.0000
```

## Properties
Space-group type = Pm-3m

Model 2:
Below is KTa3Bi after structural relaxation, with properties calculated at the PBE level.

```
5
Lattice="5.3163 0.0000 0.0000 0.0000 5.3163 0.0000 0.0000 0.0000 5.3163" Properties=species:S:1:pos:R:3 pbc="T T T"
K 2.6581 2.6581 2.6581
Ta 0.0000 2.6581 0.0000
Ta 0.0000 0.0000 2.6581
Ta 2.6581 0.0000 0.0000
Bi 0.0000 0.0000 0.0000
```

## Properties
Space-group type = Pm-3m

Which is the most stable structure? model 2 is the most stable.